1.
The following is a DFT calculation (PBE) of crystalline Rb4Pr3USe8 at its relaxed geometry.

CIF file:
```
data_Rb4Pr3USe8
_chemical_formula_sum 'Rb12 Pr9 U3 Se24'
_cell_length_a 8.7638
_cell_length_b 8.7638
_cell_length_c 24.0797
_cell_angle_alpha 90.00
_cell_angle_beta 90.00
_cell_angle_gamma 120.00
_symmetry_space_group_name_H-M 'R -3 m'
_symmetry_Int_Tables_number 166
_symmetry_space_group_name_Hall '-R 3 2"'
loop_
_atom_site_label
_atom_site_type_symbol
_atom_site_fract_x
_atom_site_fract_y
_atom_site_fract_z
_atom_site_occupancy
Rb1 Rb 0.0000 0.0000 0.0000 1
Rb2 Rb 0.0000 0.5000 0.0000 1
Pr1 Pr 0.0000 0.5000 0.5000 1
U1 U 0.0000 0.0000 0.5000 1
Se1 Se 0.0000 0.0000 0.2346 1
Se2 Se 0.0075 0.5038 0.2334 1
```

## Properties
formation energy without anion corrections: -1.59 eV/atom
energy: -5.1764 eV per atom



2.
The following is a DFT calculation (PBE) of crystalline Rb3Pr2USe6 at its relaxed geometry.

CIF file:
```
data_Rb3Pr2USe6
_chemical_formula_sum 'Rb6 Pr4 U2 Se12'
_cell_length_a 7.5734
_cell_length_b 13.1174
_cell_length_c 8.4271
_cell_angle_alpha 90.00
_cell_angle_beta 107.43
_cell_angle_gamma 90.00
_symmetry_space_group_name_H-M 'C 1 2/m 1'
_symmetry_Int_Tables_number 12
loop_
_symmetry_equiv_pos_as_xyz
'x,y,z'
'-x,-y,-z'
'-x,y,-z'
'x,-y,z'
'x+1/2,y+1/2,z'
'-x+1/2,-y+1/2,-z'
'-x+1/2,y+1/2,-z'
'x+1/2,-y+1/2,z'
loop_
_atom_site_label
_atom_site_type_symbol
_atom_site_fract_x
_atom_site_fract_y
_atom_site_fract_z
_atom_site_occupancy
Rb1 Rb 0.0000 0.0000 0.0000 1
Rb2 Rb 0.0000 0.3314 0.0000 1
Pr1 Pr 0.0000 0.1664 0.5000 1
U1 U 0.0000 0.5000 0.5000 1
Se1 Se 0.2300 0.3369 0.7012 1
Se2 Se 0.2413 0.0000 0.7017 1
```

## Properties
formation energy without anion corrections: -1.54 eV/atom
energy: -5.2655 eV per atom